*i*
Below is crystalline ErPuBr6 at its relaxed geometry, with properties calculated at the PBE level.

Its density of states at the Fermi level is 9.90 states/eV per cell. Its symmetry is R-3.

The structure in CIF format:
```
data_ErPuBr6
_chemical_formula_sum 'Er1 Pu1 Br6'
_cell_length_a 7.7332
_cell_length_b 7.7332
_cell_length_c 7.7332
_cell_angle_alpha 54.43
_cell_angle_beta 54.43
_cell_angle_gamma 54.43
_space_group_name_H-M_alt 'P 1'
_space_group_IT_number 1
loop_
_space_group_symop_operation_xyz
'x,y,z'
loop_
_atom_site_label
_atom_site_fract_x
_atom_site_fract_y
_atom_site_fract_z
Er1 0.0000 0.0000 0.0000
Pu1 0.5000 0.5000 0.5000
Br1 0.0898 0.7527 0.4004
Br2 0.2473 0.5996 0.9102
Br3 0.4004 0.0898 0.7527
Br4 0.5996 0.9102 0.2473
Br5 0.7527 0.4004 0.0898
Br6 0.9102 0.2473 0.5996
```



*ii*
Below is crystalline ErPuBr6 at its relaxed geometry, with properties calculated at the PBE level.

Its density of states at the Fermi level is 9.15 states/eV per cell. Its symmetry is C2/m.

The structure in CIF format:
```
data_ErPuBr6
_chemical_formula_sum 'Er1 Pu1 Br6'
_cell_length_a 7.4764
_cell_length_b 7.4764
_cell_length_c 7.0304
_cell_angle_alpha 97.88
_cell_angle_beta 97.88
_cell_angle_gamma 123.64
_space_group_name_H-M_alt 'P 1'
_space_group_IT_number 1
loop_
_space_group_symop_operation_xyz
'x,y,z'
loop_
_atom_site_label
_atom_site_fract_x
_atom_site_fract_y
_atom_site_fract_z
Er1 0.0000 0.0000 0.0000
Pu1 0.5000 0.5000 0.5000
Br1 0.0951 0.3854 0.2434
Br2 0.2482 0.2482 0.7563
Br3 0.3854 0.0951 0.2434
Br4 0.6146 0.9049 0.7566
Br5 0.7518 0.7518 0.2437
Br6 0.9049 0.6146 0.7566
```



Most stable: *ii* (next structure +0.021 eV/atom)



*i*
Below is crystalline RbErBr4 at its relaxed geometry, with properties calculated at the PBE level.

Its density of states at the Fermi level is 0.00 states/eV per cell. Its symmetry is P-1.

The structure in CIF format:
```
data_RbErBr4
_chemical_formula_sum 'Rb2 Er2 Br8'
_cell_length_a 7.0241
_cell_length_b 7.7775
_cell_length_c 9.2551
_cell_angle_alpha 75.69
_cell_angle_beta 67.81
_cell_angle_gamma 90.00
_space_group_name_H-M_alt 'P 1'
_space_group_IT_number 1
loop_
_space_group_symop_operation_xyz
'x,y,z'
loop_
_atom_site_label
_atom_site_fract_x
_atom_site_fract_y
_atom_site_fract_z
Rb1 0.2062 0.2507 0.4986
Rb2 0.7938 0.7493 0.5014
Er1 0.0000 0.5000 0.0000
Er2 0.5000 0.0000 0.0000
Br1 0.1255 0.1610 0.1098
Br2 0.2653 0.6609 0.1097
Br3 0.2847 0.5527 0.6943
Br4 0.4807 0.9474 0.3055
Br5 0.5193 0.0526 0.6945
Br6 0.7153 0.4473 0.3057
Br7 0.7347 0.3391 0.8903
Br8 0.8745 0.8390 0.8902
```



*ii*
Below is crystalline RbErBr4 at its relaxed geometry, with properties calculated at the PBE level.

Its density of states at the Fermi level is 0.00 states/eV per cell. Its symmetry is C2/c.

The structure in CIF format:
```
data_RbErBr4
_chemical_formula_sum 'Rb2 Er2 Br8'
_cell_length_a 9.8292
_cell_length_b 9.8292
_cell_length_c 7.3232
_cell_angle_alpha 98.33
_cell_angle_beta 98.33
_cell_angle_gamma 117.80
_space_group_name_H-M_alt 'P 1'
_space_group_IT_number 1
loop_
_space_group_symop_operation_xyz
'x,y,z'
loop_
_atom_site_label
_atom_site_fract_x
_atom_site_fract_y
_atom_site_fract_z
Rb1 0.2441 0.7559 0.7500
Rb2 0.7559 0.2441 0.2500
Er1 0.0656 0.9344 0.2500
Er2 0.9344 0.0656 0.7500
Br1 0.0011 0.3550 0.6956
Br2 0.0970 0.2117 0.1358
Br3 0.2117 0.0970 0.6358
Br4 0.3550 0.0011 0.1956
Br5 0.6450 0.9989 0.8044
Br6 0.7883 0.9030 0.3642
Br7 0.9030 0.7883 0.8642
Br8 0.9989 0.6450 0.3044
```



Most stable: *ii* (next structure +0.040 eV/atom)



*i*
Below is crystalline Er2RhBr at its relaxed geometry, with properties calculated at the PBE level.

Its density of states at the Fermi level is 0.82 states/eV per cell. Its symmetry is R-3m.

The structure in CIF format:
```
data_Er2RhBr
_chemical_formula_sum 'Er2 Rh1 Br1'
_cell_length_a 7.9459
_cell_length_b 7.9459
_cell_length_c 7.9459
_cell_angle_alpha 28.89
_cell_angle_beta 28.89
_cell_angle_gamma 28.89
_space_group_name_H-M_alt 'P 1'
_space_group_IT_number 1
loop_
_space_group_symop_operation_xyz
'x,y,z'
loop_
_atom_site_label
_atom_site_fract_x
_atom_site_fract_y
_atom_site_fract_z
Er1 0.2307 0.2307 0.2307
Er2 0.7693 0.7693 0.7693
Rh1 0.5000 0.5000 0.5000
Br1 0.0000 0.0000 0.0000
```



*ii*
Below is crystalline Er2RhBr at its relaxed geometry, with properties calculated at the PBE level.

Its density of states at the Fermi level is 0.24 states/eV per cell. Its symmetry is R3m.

The structure in CIF format:
```
data_Er2RhBr
_chemical_formula_sum 'Er2 Rh1 Br1'
_cell_length_a 8.0151
_cell_length_b 8.0151
_cell_length_c 8.0151
_cell_angle_alpha 28.65
_cell_angle_beta 28.65
_cell_angle_gamma 28.65
_space_group_name_H-M_alt 'P 1'
_space_group_IT_number 1
loop_
_space_group_symop_operation_xyz
'x,y,z'
loop_
_atom_site_label
_atom_site_fract_x
_atom_site_fract_y
_atom_site_fract_z
Er1 0.0000 0.0000 0.0000
Er2 0.2070 0.2070 0.2070
Rh1 0.6028 0.6028 0.6028
Br1 0.4312 0.4312 0.4312
```



Most stable: *i* (next structure +0.018 eV/atom)



*i*
Below is crystalline Er2RuBr at its relaxed geometry, with properties calculated at the PBE level.

Its density of states at the Fermi level is 2.30 states/eV per cell. Its symmetry is R3m.

The structure in CIF format:
```
data_Er2RuBr
_chemical_formula_sum 'Er2 Ru1 Br1'
_cell_length_a 8.0128
_cell_length_b 8.0128
_cell_length_c 8.0128
_cell_angle_alpha 28.41
_cell_angle_beta 28.41
_cell_angle_gamma 28.41
_space_group_name_H-M_alt 'P 1'
_space_group_IT_number 1
loop_
_space_group_symop_operation_xyz
'x,y,z'
loop_
_atom_site_label
_atom_site_fract_x
_atom_site_fract_y
_atom_site_fract_z
Er1 0.0000 0.0000 0.0000
Er2 0.2055 0.2055 0.2055
Ru1 0.6022 0.6022 0.6022
Br1 0.4335 0.4335 0.4335
```



*ii*
Below is crystalline Er2RuBr at its relaxed geometry, with properties calculated at the PBE level.

Its density of states at the Fermi level is 2.30 states/eV per cell. Its symmetry is R-3m.

The structure in CIF format:
```
data_Er2RuBr
_chemical_formula_sum 'Er2 Ru1 Br1'
_cell_length_a 7.9585
_cell_length_b 7.9585
_cell_length_c 7.9585
_cell_angle_alpha 28.64
_cell_angle_beta 28.64
_cell_angle_gamma 28.64
_space_group_name_H-M_alt 'P 1'
_space_group_IT_number 1
loop_
_space_group_symop_operation_xyz
'x,y,z'
loop_
_atom_site_label
_atom_site_fract_x
_atom_site_fract_y
_atom_site_fract_z
Er1 0.2312 0.2312 0.2312
Er2 0.7688 0.7688 0.7688
Ru1 0.5000 0.5000 0.5000
Br1 0.0000 0.0000 0.0000
```



*iii*
Below is crystalline Er2RuBr at its relaxed geometry, with properties calculated at the PBE level.

Its density of states at the Fermi level is 1.02 states/eV per cell. Its symmetry is P4/mmm.

The structure in CIF format:
```
data_Er2RuBr
_chemical_formula_sum 'Er2 Ru1 Br1'
_cell_length_a 3.3738
_cell_length_b 3.3738
_cell_length_c 8.1218
_cell_angle_alpha 90.00
_cell_angle_beta 90.00
_cell_angle_gamma 90.00
_space_group_name_H-M_alt 'P 1'
_space_group_IT_number 1
loop_
_space_group_symop_operation_xyz
'x,y,z'
loop_
_atom_site_label
_atom_site_fract_x
_atom_site_fract_y
_atom_site_fract_z
Er1 0.0000 0.0000 0.2036
Er2 0.0000 0.0000 0.7964
Ru1 0.5000 0.5000 0.0000
Br1 0.5000 0.5000 0.5000
```



Most stable: *iii* (next structure +0.036 eV/atom)



*i*
Below is crystalline Er2SeBr at its relaxed geometry, with properties calculated at the PBE level.

Its density of states at the Fermi level is 1.76 states/eV per cell. Its symmetry is R-3m.

The structure in CIF format:
```
data_Er2SeBr
_chemical_formula_sum 'Er2 Se1 Br1'
_cell_length_a 8.1691
_cell_length_b 8.1691
_cell_length_c 8.1691
_cell_angle_alpha 27.19
_cell_angle_beta 27.19
_cell_angle_gamma 27.19
_space_group_name_H-M_alt 'P 1'
_space_group_IT_number 1
loop_
_space_group_symop_operation_xyz
'x,y,z'
loop_
_atom_site_label
_atom_site_fract_x
_atom_site_fract_y
_atom_site_fract_z
Er1 0.2361 0.2361 0.2361
Er2 0.7639 0.7639 0.7639
Se1 0.5000 0.5000 0.5000
Br1 0.0000 0.0000 0.0000
```



*ii*
Below is crystalline Er2SeBr at its relaxed geometry, with properties calculated at the PBE level.

Its density of states at the Fermi level is 3.30 states/eV per cell. Its symmetry is R3m.

The structure in CIF format:
```
data_Er2SeBr
_chemical_formula_sum 'Er2 Se1 Br1'
_cell_length_a 8.3381
_cell_length_b 8.3381
_cell_length_c 8.3381
_cell_angle_alpha 25.97
_cell_angle_beta 25.97
_cell_angle_gamma 25.97
_space_group_name_H-M_alt 'P 1'
_space_group_IT_number 1
loop_
_space_group_symop_operation_xyz
'x,y,z'
loop_
_atom_site_label
_atom_site_fract_x
_atom_site_fract_y
_atom_site_fract_z
Er1 0.0000 0.0000 0.0000
Er2 0.1846 0.1846 0.1846
Se1 0.5932 0.5932 0.5932
Br1 0.7594 0.7594 0.7594
```



Most stable: *ii* (next structure +0.024 eV/atom)



*i*
Below is crystalline Er2TcBr at its relaxed geometry, with properties calculated at the PBE level.

Its density of states at the Fermi level is 2.19 states/eV per cell. Its symmetry is P4/mmm.

The structure in CIF format:
```
data_Er2TcBr
_chemical_formula_sum 'Er2 Tc1 Br1'
_cell_length_a 3.4368
_cell_length_b 3.4368
_cell_length_c 7.9341
_cell_angle_alpha 90.00
_cell_angle_beta 90.00
_cell_angle_gamma 90.00
_space_group_name_H-M_alt 'P 1'
_space_group_IT_number 1
loop_
_space_group_symop_operation_xyz
'x,y,z'
loop_
_atom_site_label
_atom_site_fract_x
_atom_site_fract_y
_atom_site_fract_z
Er1 0.0000 0.0000 0.2031
Er2 0.0000 0.0000 0.7969
Tc1 0.5000 0.5000 0.0000
Br1 0.5000 0.5000 0.5000
```



*ii*
Below is crystalline Er2TcBr at its relaxed geometry, with properties calculated at the PBE level.

Its density of states at the Fermi level is 3.54 states/eV per cell. Its symmetry is R-3m.

The structure in CIF format:
```
data_Er2TcBr
_chemical_formula_sum 'Er2 Tc1 Br1'
_cell_length_a 10.2350
_cell_length_b 10.2350
_cell_length_c 10.2350
_cell_angle_alpha 18.56
_cell_angle_beta 18.56
_cell_angle_gamma 18.56
_space_group_name_H-M_alt 'P 1'
_space_group_IT_number 1
loop_
_space_group_symop_operation_xyz
'x,y,z'
loop_
_atom_site_label
_atom_site_fract_x
_atom_site_fract_y
_atom_site_fract_z
Er1 0.0871 0.0871 0.0871
Er2 0.9129 0.9129 0.9129
Tc1 0.0000 0.0000 0.0000
Br1 0.5000 0.5000 0.5000
```



Most stable: *i* (next structure +0.810 eV/atom)